1.
Density functional theory data (PBE-GGA) for crystalline AcGdPdPb at its relaxed geometry.

```
4
Lattice="-0.517 -5.455 -0.117 0.536 -2.903 4.617 -4.385 -2.386 2.261" Properties=species:S:1:pos:R:3 pbc="T T T"
Pb -2.183 -5.372 3.381
Ac -3.274 -8.058 5.071
Gd -1.091 -2.686 1.690
Pd 0.000 0.000 0.000
```

Properties
Formation energy from the elements (eV/atom): -0.55
DOS(E_F) (states/eV/cell): 4.25
SG: F-43m (216)



2.
Density functional theory data (PBE-GGA) for crystalline InRh2Au at its relaxed geometry.

```
4
Lattice="8.840 -1.485 -0.005 8.840 1.485 -0.005 8.592 0.000 2.554" Properties=species:S:1:pos:R:3 pbc="T T T"
In 0.000 0.000 0.000
Rh 19.638 0.000 1.902
Rh 6.633 0.000 0.642
Au 13.135 0.000 1.272
```

Properties
Formation energy from the elements (eV/atom): 0.03
DOS(E_F) (states/eV/cell): 5.61
SG: R-3m (166)



3.
Density functional theory data (PBE-GGA) for crystalline SiNiPb2 at its relaxed geometry.

```
4
Lattice="-1.691 3.046 1.611 -3.800 0.455 -0.290 -2.766 -2.420 6.367" Properties=species:S:1:pos:R:3 pbc="T T T"
Ni -2.064 0.270 1.922
Pb -5.516 3.413 1.470
Pb -4.103 0.629 3.696
Si -6.193 0.811 5.766
```

Properties
DOS(E_F) (states/eV/cell): 2.22
Energy relative to the elements, uncorrected (eV per atom): 0.4375
SG: C2/m (12)



Q: Number 1 is which compound?
A: AcGdPdPb



Q: Which value of DOS(E_F) does entry 3 give?
A: 2.22 states/eV/cell



Q: Which of these has the lowest DOS(E_F)?
A: SiNiPb2